Entry 1:
# ZnInSn2Rh | Alexandria via LeMat-Bulk | GGA-PBE | relaxed
# - Magnetic moment: 0.000 μB/atom
# - DFT total energy: -0.143 Ha/atom
# - E_form: -0.020 eV per atom
# - Space-group type: P4/mmm (123)
data_ZnInSn2Rh
_chemical_formula_sum 'Zn1 In1 Sn2 Rh1'
_cell_length_a 5.110
_cell_length_b 4.914
_cell_length_c 5.110
_cell_angle_alpha 90.00
_cell_angle_beta 90.00
_cell_angle_gamma 90.00
_symmetry_space_group_name_H-M 'P 1'
_symmetry_Int_Tables_number 1
loop_
_symmetry_equiv_pos_as_xyz
'x,y,z'
loop_
_atom_site_label
_atom_site_fract_x
_atom_site_fract_y
_atom_site_fract_z
_atom_site_occupancy
Zn1 0.000 0.500 0.000 1
Rh1 0.000 0.000 0.000 1
Sn1 0.000 0.000 0.500 1
Sn2 0.500 0.000 0.000 1
In1 0.500 0.500 0.500 1

---

Entry 2:
# SrIn2Rh2 | Alexandria via LeMat-Bulk | GGA-PBE | relaxed
# - Magnetic moment: 0.000 μB/atom
# - DFT total energy: -0.176 Ha/atom
# - E_form: -0.411 eV per atom
# - Space-group type: P4/mbm (127)
data_SrIn2Rh2
_chemical_formula_sum 'Sr2 In4 Rh4'
_cell_length_a 8.002
_cell_length_b 8.002
_cell_length_c 3.189
_cell_angle_alpha 90.00
_cell_angle_beta 90.00
_cell_angle_gamma 90.00
_symmetry_space_group_name_H-M 'P 1'
_symmetry_Int_Tables_number 1
loop_
_symmetry_equiv_pos_as_xyz
'x,y,z'
loop_
_atom_site_label
_atom_site_fract_x
_atom_site_fract_y
_atom_site_fract_z
_atom_site_occupancy
In1 0.357 0.143 0.500 1
In2 0.857 0.357 0.500 1
In3 0.643 0.857 0.500 1
In4 0.143 0.643 0.500 1
Sr1 0.500 0.500 0.000 1
Sr2 0.000 0.000 0.000 1
Rh1 0.650 0.150 0.000 1
Rh2 0.150 0.350 0.000 1
Rh3 0.350 0.850 0.000 1
Rh4 0.850 0.650 0.000 1